(1)
TaSbNO2: PBEsol geometry, SCAN.

POSCAR file:
```
TaSbNO2
1.0
3.9542 0.0000 0.0000
0.0000 3.9542 0.0000
0.0000 0.0000 4.1755
Ta Sb N O
1 1 1 2
direct
0.0000 0.0000 0.0000 Ta
0.5000 0.5000 0.5000 Sb
0.0000 0.0000 0.5000 N
0.0000 0.5000 0.0000 O
0.5000 0.0000 0.0000 O
```

Properties
Theoretical density: 8.87 g/cm³
SG: P4/mmm (123)
E_tot: -131.57 eV for the cell shown
V: 65 Å³/cell
Energy relative to the elements, uncorrected: -5.970 eV/f.u.

---

(2)
KCaTi2Sn: PBEsol geometry, SCAN.

POSCAR file:
```
KCaTi2Sn
1.0
5.3325 0.0000 0.0000
0.0000 5.3325 0.0000
0.0000 0.0000 5.9155
K Ca Ti Sn
1 1 2 1
direct
0.0000 0.0000 0.0000 K
0.5000 0.5000 0.0000 Ca
0.0000 0.5000 0.5000 Ti
0.5000 0.0000 0.5000 Ti
0.5000 0.5000 0.5000 Sn
```

Properties
Theoretical density: 2.90 g/cm³
SG: P4/mmm (123)
E_tot: -83.23 eV for the cell shown
Formation energy from the elements: 0.548 eV/atom
V: 168 Å³/cell

---

(3)
InPt2Rh: PBEsol geometry, SCAN.

POSCAR file:
```
InPt2Rh
1.0
4.6074 -1.4639 0.0000
4.6074 1.4639 0.0000
-0.9466 0.0000 4.6253
In Pt Rh
1 2 1
direct
0.0000 0.0000 0.0000 In
0.2490 0.2490 0.7406 Pt
0.7510 0.7510 0.2594 Pt
0.5000 0.5000 0.5000 Rh
```

Properties
Theoretical density: 16.18 g/cm³
SG: C2/m (12)
E_tot: -208.43 eV for the cell shown
Formation energy from the elements: -0.222 eV/atom
V: 62 Å³/cell

---

(4)
BaCaTe: PBEsol geometry, SCAN.

POSCAR file:
```
BaCaTe
1.0
4.4748 0.0000 0.0000
-2.2374 3.8753 0.0000
0.0000 0.0000 7.6040
Ba Ca Te
1 1 1
direct
0.0000 0.0000 0.0000 Ba
0.3333 0.6667 0.5239 Ca
0.6667 0.3333 0.2958 Te
```

Properties
Theoretical density: 3.84 g/cm³
SG: P3m1 (156)
E_tot: -89.84 eV for the cell shown
V: 132 Å³/cell
Energy relative to the elements, uncorrected: -3.375 eV/f.u.

---

(5)
K2ZrGeBr: PBEsol geometry, SCAN.

POSCAR file:
```
K2ZrGeBr
1.0
6.3476 0.0000 0.0000
0.0000 6.3476 0.0000
0.0000 0.0000 5.0903
K Zr Ge Br
2 1 1 1
direct
0.0000 0.5000 0.0000 K
0.5000 0.0000 0.0000 K
0.0000 0.0000 0.5000 Zr
0.0000 0.0000 0.0000 Ge
0.5000 0.5000 0.5000 Br
```

Properties
Theoretical density: 2.61 g/cm³
SG: P4/mmm (123)
E_tot: -86.17 eV for the cell shown
V: 205 Å³/cell
Energy relative to the elements, uncorrected: -0.266 eV/f.u.

---

(6)
BeIrPb: PBEsol geometry, SCAN.

POSCAR file:
```
BeIrPb
1.0
3.0641 0.0000 0.0000
-1.5320 2.6536 0.0000
0.0000 0.0000 6.1687
Be Ir Pb
1 1 1
direct
0.0000 0.0000 0.0000 Be
0.3333 0.6667 0.7706 Ir
0.6667 0.3333 0.3899 Pb
```

Properties
Theoretical density: 13.52 g/cm³
SG: P3m1 (156)
E_tot: -150.21 eV for the cell shown
Formation energy from the elements: 0.341 eV/atom
V: 50 Å³/cell

---

(7)
CaTaTl2Te: PBEsol geometry, SCAN.

POSCAR file:
```
CaTaTl2Te
1.0
5.6092 0.0000 0.0000
0.0000 5.6092 0.0000
0.0000 0.0000 5.5014
Ca Ta Tl Te
1 1 2 1
direct
0.0000 0.0000 0.0000 Ca
0.5000 0.5000 0.5000 Ta
0.0000 0.5000 0.0000 Tl
0.5000 0.0000 0.0000 Tl
0.0000 0.0000 0.5000 Te
```

Properties
Theoretical density: 7.27 g/cm³
SG: P4/mmm (123)
E_tot: -251.82 eV for the cell shown
V: 173 Å³/cell
Energy relative to the elements, uncorrected: 6.395 eV/f.u.

---

(8)
SiOsSe2: PBEsol geometry, SCAN.

POSCAR file:
```
SiOsSe2
1.0
-2.7914 2.7914 5.6022
2.7914 -2.7914 5.6022
2.7914 2.7914 -5.6022
Si Os Se
2 2 4
direct
0.0000 0.0000 0.0000 Si
0.7500 0.2500 0.5000 Si
0.2500 0.7500 0.5000 Os
0.5000 0.5000 0.0000 Os
0.1423 0.6250 0.0173 Se
0.3750 0.3923 0.5173 Se
0.6077 0.1250 0.9827 Se
0.8750 0.8577 0.4827 Se
```

Properties
Theoretical density: 7.16 g/cm³
SG: I-42d (122)
E_tot: -239.31 eV for the cell shown
V: 175 Å³/cell
Energy relative to the elements, uncorrected: 2.396 eV/f.u.

---

(9)
InPtO3: PBEsol geometry, SCAN.

POSCAR file:
```
InPtO3
1.0
4.0872 0.0000 0.0000
0.0000 4.0872 0.0000
0.0000 0.0000 4.0872
In Pt O
1 1 3
direct
0.0000 0.0000 0.0000 In
0.5000 0.5000 0.5000 Pt
0.0000 0.0000 0.5000 O
0.0000 0.5000 0.0000 O
0.5000 0.0000 0.0000 O
```

Properties
Theoretical density: 8.70 g/cm³
SG: Pm-3m (221)
E_tot: -121.16 eV for the cell shown
V: 68 Å³/cell
Energy relative to the elements, uncorrected: 1.117 eV/f.u.

---

(10)
Cd2AsPdF: PBEsol geometry, SCAN.

POSCAR file:
```
Cd2AsPdF
1.0
4.5565 0.0000 0.0000
0.0000 4.5565 0.0000
0.0000 0.0000 4.3743
Cd As Pd F
2 1 1 1
direct
0.0000 0.5000 0.0000 Cd
0.5000 0.0000 0.0000 Cd
0.0000 0.0000 0.5000 As
0.5000 0.5000 0.5000 Pd
0.0000 0.0000 0.0000 F
```

Properties
Theoretical density: 7.77 g/cm³
SG: P4/mmm (123)
E_tot: -117.91 eV for the cell shown
V: 91 Å³/cell
Energy relative to the elements, uncorrected: -0.581 eV/f.u.

---

(11)
TiReSeN2: PBEsol geometry, SCAN.

POSCAR file:
```
TiReSeN2
1.0
3.8143 0.0000 0.0000
0.0000 3.8143 0.0000
0.0000 0.0000 5.1643
Ti Re Se N
1 1 1 2
direct
0.0000 0.0000 0.0000 Ti
0.5000 0.5000 0.5000 Re
0.0000 0.0000 0.5000 Se
0.0000 0.5000 0.0000 N
0.5000 0.0000 0.0000 N
```

Properties
Theoretical density: 7.54 g/cm³
SG: P4/mmm (123)
E_tot: -121.16 eV for the cell shown
V: 75 Å³/cell
Energy relative to the elements, uncorrected: 4.626 eV/f.u.

---

(12)
VIr3: PBEsol geometry, SCAN.

POSCAR file:
```
VIr3
1.0
3.7949 0.0000 0.0000
0.0000 3.7949 0.0000
0.0000 0.0000 3.7949
V Ir
1 3
direct
0.0000 0.0000 0.0000 V
0.0000 0.5000 0.5000 Ir
0.5000 0.0000 0.5000 Ir
0.5000 0.5000 0.0000 Ir
```

Properties
Theoretical density: 19.07 g/cm³
SG: Pm-3m (221)
E_tot: -233.32 eV for the cell shown
Formation energy from the elements: -0.633 eV/atom
V: 55 Å³/cell

---

Please write out number 5 again, unchanged.
K2ZrGeBr: PBEsol geometry, SCAN.

POSCAR file:
```
K2ZrGeBr
1.0
6.3476 0.0000 0.0000
0.0000 6.3476 0.0000
0.0000 0.0000 5.0903
K Zr Ge Br
2 1 1 1
direct
0.0000 0.5000 0.0000 K
0.5000 0.0000 0.0000 K
0.0000 0.0000 0.5000 Zr
0.0000 0.0000 0.0000 Ge
0.5000 0.5000 0.5000 Br
```

Properties
Theoretical density: 2.61 g/cm³
SG: P4/mmm (123)
E_tot: -86.17 eV for the cell shown
V: 205 Å³/cell
Energy relative to the elements, uncorrected: -0.266 eV/f.u.

---

Repeat the ninth record exactly.
InPtO3: PBEsol geometry, SCAN.

POSCAR file:
```
InPtO3
1.0
4.0872 0.0000 0.0000
0.0000 4.0872 0.0000
0.0000 0.0000 4.0872
In Pt O
1 1 3
direct
0.0000 0.0000 0.0000 In
0.5000 0.5000 0.5000 Pt
0.0000 0.0000 0.5000 O
0.0000 0.5000 0.0000 O
0.5000 0.0000 0.0000 O
```

Properties
Theoretical density: 8.70 g/cm³
SG: Pm-3m (221)
E_tot: -121.16 eV for the cell shown
V: 68 Å³/cell
Energy relative to the elements, uncorrected: 1.117 eV/f.u.